VCuMoO6: relaxed, GGA+U.

abc: 5.003 5.003 9.082
angles: 90.00 90.00 120.00
Fractional positions:
V 0.333 0.667 0.250
V 0.667 0.333 0.750
Cu 0.000 0.000 0.000
Cu 0.000 0.000 0.500
Mo 0.333 0.667 0.750
Mo 0.667 0.333 0.250
O 0.006 0.357 0.133
O 0.006 0.649 0.367
O 0.351 0.357 0.367
O 0.351 0.994 0.133
O 0.357 0.006 0.633
O 0.357 0.351 0.867
O 0.643 0.649 0.133
O 0.643 0.994 0.367
O 0.649 0.006 0.867
O 0.649 0.643 0.633
O 0.994 0.351 0.633
O 0.994 0.643 0.867

Summary:
Total DFT energy (no corrections), eV/atom: -6.762
Total magnetic moment, μB per formula unit: 0.03